Entry from Alexandria: a relaxed NiTeBr4 crystal (PBE).

Properties
Final energy   -36.90 eV per cell

Lattice parameters (Å, degrees): 8.719 8.719 8.719 90.00 90.00 90.00
Space group F-43m (No. 216)
Unique sites:
Ni 0.000 0.000 0.000 x4
Te 0.250 0.250 0.750 x4
Br 0.125 0.125 0.375 x16

Entry from Alexandria: a relaxed BaInGaHg2 crystal (PBE).

Properties
Energy above the lowest structure with this stoichiometry   0.000 eV/f.u.

Lattice parameters (Å, degrees): 4.808 4.912 11.935 90.00 90.00 90.00
Space group Imm2 (No. 44)
Unique sites:
Ba 0.000 0.000 0.000 x2
In 0.000 0.500 0.751 x2
Ga 0.000 0.000 0.381 x2
Hg 0.000 0.000 0.607 x2
Hg 0.000 0.500 0.265 x2

Entry from Alexandria: a relaxed BaRe2P crystal (PBE).

Properties
Final energy   -97.56 eV per cell

Lattice parameters (Å, degrees): 4.2180 4.2180 18.1107 90.00 90.00 120.00
Space group R3m (No. 160, hexagonal axes)
Unique sites:
Ba 0.0000 0.0000 0.0000 x3
Re 0.0000 0.0000 0.1931 x3
Re 0.0000 0.0000 0.4954 x3
P 0.0000 0.0000 0.7955 x3

Entry from Alexandria: a relaxed SmDyZnGa crystal (PBE).

Properties
Final energy   -61.96 eV per cell

Lattice parameters (Å, degrees): 7.225 7.225 7.225 90.00 90.00 90.00
Space group F-43m (No. 216)
Unique sites:
Sm 0.000 0.000 0.000 x4
Dy 0.000 0.000 0.500 x4
Zn 0.250 0.250 0.750 x4
Ga 0.250 0.250 0.250 x4

Entry from Alexandria: a relaxed TbDy5Sn4 crystal (PBE).

Properties
Final energy   -95.36 eV per cell

Lattice parameters (Å, degrees): 17.802 4.410 8.014 90.00 101.67 90.00
Space group C2/m (No. 12)
Unique sites:
Tb 0.000 0.000 0.000 x2
Dy 0.000 0.000 0.500 x2
Dy 0.140 0.500 0.725 x4
Dy 0.205 0.500 0.307 x4
Sn 0.035 0.500 0.274 x4
Sn 0.189 0.000 0.012 x4

Entry from Alexandria: a relaxed InIrS2 crystal (PBE).

Properties
Final energy   -62.99 eV per cell

Lattice parameters (Å, degrees): 3.5763 3.5763 24.3039 90.00 90.00 120.00
Space group R-3m (No. 166, hexagonal axes)
Unique sites:
In 0.0000 0.0000 0.0000 x3
Ir 0.0000 0.0000 0.5000 x3
S 0.0000 0.0000 0.1183 x6